1.
Computed, not measured: a geometry-optimized KCaSiMo2 structure at the PBE-GGA level of DFT.

abc: 4.9754 5.1437 4.9754
angles: 90.00 90.00 90.00
With the nearest neighbours (Å) after each atom.
Element x y z (fractional)
K 0.0000 0.5000 0.0000  2 Ca 2.57
Mo 0.0000 0.0000 0.5000  2 Ca 2.49
Mo 0.5000 0.0000 0.0000  2 Ca 2.49
Ca 0.0000 0.0000 0.0000  4 Mo 2.49, 2 K 2.57
Si 0.5000 0.5000 0.5000  4 K 3.52, 8 Mo 3.58

Computed properties:
space-group type	P4/mmm (123)
E_form (uncorrected)	2.444	eV/atom
final energy	-3.5932	eV per atom
size of the total moment	4.344	μB per formula unit

---

2.
Computed, not measured: a geometry-optimized Li4ZrSe structure at the PBE-GGA level of DFT.

abc: 5.3434 5.3434 5.3434
angles: 60.00 60.00 60.00
With the nearest neighbours (Å) after each atom.
Element x y z (fractional)
Li 0.3757 0.3757 0.8728  6 Li 2.66-2.69
Se 0.7500 0.7500 0.7500  12 Li 3.13, 4 Zr 3.27
Li 0.8728 0.3757 0.3757  6 Li 2.66-2.69
Li 0.3757 0.8728 0.3757  6 Li 2.66-2.69
Li 0.3757 0.3757 0.3757  6 Li 2.66-2.69
Zr 0.0000 0.0000 0.0000  12 Li 3.13, 4 Se 3.27

Computed properties:
space-group type	F-43m (216)
E_form (uncorrected)	0.108	eV/atom
final energy	-3.1730	eV per atom
size of the total moment	1.699	μB per formula unit

---

3.
Computed, not measured: a geometry-optimized CsTi2Cu2Te8 structure at the PBE-GGA level of DFT.

abc: 10.2576 10.2576 13.2784
angles: 52.28 52.28 22.27
With the nearest neighbours (Å) after each atom.
Element x y z (fractional)
Te 0.3081 0.3081 0.3995  1 Ti 2.89, 2 Te 2.98
Te 0.9203 0.9203 0.1455  2 Ti 2.88, 1 Te 3.17
Cs 0.9887 0.9887 0.3797  9 Te 3.88-4.11, 2 Cs 3.96
Te 0.0801 0.0801 0.8486  2 Ti 2.88, 1 Te 3.17
Te 0.6872 0.6872 0.6016  1 Ti 2.86, 2 Te 2.98
Te 0.6797 0.6797 0.3080  1 Cu 2.61, 2 Ti 2.75
Ti 0.3012 0.3012 0.1884  6 Te 2.68-2.89
Cu 0.7624 0.7624 0.0598  4 Te 2.61-2.70, 2 Cu 2.75
Te 0.3209 0.3209 0.6934  1 Cu 2.59, 2 Ti 2.75
Te 0.3720 0.3720 0.9383  3 Cu 2.64-2.65, 1 Ti 2.68
Te 0.6301 0.6301 0.0549  3 Cu 2.63-2.70, 1 Ti 2.68
Cu 0.2393 0.2393 0.9403  4 Te 2.59-2.65, 2 Cu 2.75
Ti 0.6995 0.6995 0.8052  6 Te 2.68-2.88

Computed properties:
space-group type	Cm (8)
E_form (uncorrected)	-0.517	eV/atom
final energy	-4.3606	eV per atom
size of the total moment	0.000	μB per formula unit